Record 1
Below is Sb2OsO4 after structural relaxation, with properties calculated at the PBE level.

Geometry as POSCAR:
```
Sb2OsO4
1.0
4.802 -4.805 0.000
-4.802 0.000 -4.805
4.802 4.805 0.000
O Sb Os
8 4 2
direct
0.113 0.225 0.338
0.113 0.775 0.887
0.088 0.725 0.363
0.662 0.775 0.887
0.637 0.275 0.363
0.637 0.725 0.363
0.113 0.225 0.887
0.637 0.275 0.912
0.375 0.250 0.625
0.375 0.750 0.125
0.375 0.750 0.625
0.875 0.250 0.625
0.750 0.500 0.250
0.000 0.000 0.000
```


Record 2
Below is Sc2Os2O5 after structural relaxation, with properties calculated at the PBE level.

Geometry as POSCAR:
```
Sc2Os2O5
1.0
-0.093 -1.718 -6.492
-2.335 -2.977 0.822
-3.088 2.268 -0.556
Os O Sc
2 5 2
direct
0.813 0.500 0.500
0.187 0.500 0.500
0.244 0.500 0.000
0.244 0.000 0.500
0.756 0.500 0.000
0.500 0.500 0.500
0.756 0.000 0.500
0.500 0.000 0.000
0.000 0.000 0.000
```


Record 3
Below is Sc2Os2O5 after structural relaxation, with properties calculated at the PBE level.

Geometry as POSCAR:
```
Sc2Os2O5
1.0
8.668 0.000 0.000
0.000 3.472 0.000
0.000 0.000 3.472
Os O Sc
2 5 2
direct
0.500 0.000 0.000
0.000 0.000 0.000
0.864 0.500 0.000
0.136 0.500 0.000
0.500 0.500 0.500
0.136 0.000 0.500
0.864 0.000 0.500
0.264 0.500 0.500
0.736 0.500 0.500
```


Record 4
Below is ScOsO4 after structural relaxation, with properties calculated at the PBE level.

Geometry as POSCAR:
```
ScOsO4
1.0
6.454 -1.916 0.000
6.454 1.916 0.000
-1.969 0.000 6.434
O Sc Os
8 2 2
direct
0.245 0.245 0.348
0.115 0.115 0.682
0.445 0.445 0.633
0.639 0.639 0.976
0.755 0.755 0.652
0.885 0.885 0.318
0.555 0.555 0.367
0.361 0.361 0.024
0.691 0.691 0.276
0.309 0.309 0.724
0.395 0.395 0.313
0.605 0.605 0.687
```


Record 5
Below is Sr2ScOsO6 after structural relaxation, with properties calculated at the PBE level.

Geometry as POSCAR:
```
Sr2ScOsO6
1.0
-4.142 -3.086 2.329
2.941 -4.712 -1.012
7.643 3.736 4.816
Os O Sc Sr
2 12 2 4
direct
0.000 0.500 0.000
0.000 0.000 0.500
0.234 0.721 0.969
0.234 0.779 0.469
0.812 0.768 0.031
0.188 0.232 0.969
0.812 0.732 0.531
0.303 0.493 0.243
0.697 0.507 0.757
0.766 0.221 0.531
0.765 0.279 0.031
0.188 0.268 0.469
0.303 0.007 0.743
0.697 0.993 0.257
0.500 0.500 0.500
0.500 0.000 0.000
0.245 0.481 0.749
0.245 0.019 0.249
0.755 0.981 0.751
0.755 0.519 0.251
```


Record 6
Below is Os2Se4O after structural relaxation, with properties calculated at the PBE level.

Geometry as POSCAR:
```
Os2Se4O
1.0
-2.612 3.395 0.448
-1.462 -0.596 -4.007
-4.318 -3.601 2.111
Se Os O
4 2 1
direct
0.000 0.500 0.749
0.000 0.500 0.251
0.500 0.000 0.749
0.500 0.000 0.251
0.000 0.000 0.500
0.500 0.500 0.000
0.000 0.000 0.000
```


Record 7
Below is Os3SeO5 after structural relaxation, with properties calculated at the PBE level.

Geometry as POSCAR:
```
Os3SeO5
1.0
-2.551 2.782 -5.592
-6.514 1.618 0.685
1.292 4.505 1.651
Os O Se
6 10 2
direct
0.141 0.859 0.270
0.859 0.141 0.770
0.795 0.655 0.855
0.655 0.795 0.355
0.345 0.205 0.855
0.205 0.345 0.355
0.768 0.232 0.099
0.543 0.903 0.737
0.948 0.843 0.943
0.232 0.768 0.599
0.903 0.543 0.237
0.097 0.457 0.737
0.843 0.948 0.443
0.457 0.097 0.237
0.157 0.052 0.943
0.052 0.157 0.443
0.549 0.451 0.657
0.451 0.549 0.157
```


Record 8
Below is OsSeO4 after structural relaxation, with properties calculated at the PBE level.

Geometry as POSCAR:
```
OsSeO4
1.0
-0.984 2.242 -3.056
-5.918 0.706 2.429
5.401 3.781 3.542
O Se Os
8 2 2
direct
0.747 0.236 0.472
0.818 0.054 0.108
0.604 0.593 0.795
0.310 0.407 0.205
0.210 0.946 0.892
0.776 0.764 0.529
0.604 0.202 0.795
0.309 0.798 0.205
0.875 0.369 0.738
0.638 0.631 0.263
0.378 0.096 0.192
0.686 0.904 0.808
```


Record 9
Below is Si2OsO4 after structural relaxation, with properties calculated at the PBE level.

Geometry as POSCAR:
```
Si2OsO4
1.0
-2.221 5.290 0.876
-3.178 -4.082 -2.631
1.179 -0.444 5.666
O Os Si
8 2 4
direct
0.149 0.701 0.851
0.601 0.201 0.802
0.198 0.799 0.399
0.601 0.799 0.399
0.552 0.701 0.851
0.601 0.201 0.399
0.149 0.299 0.851
0.149 0.299 0.448
0.750 0.500 0.250
0.000 0.000 0.000
0.375 0.250 0.625
0.375 0.750 0.125
0.375 0.750 0.625
0.875 0.250 0.625
```


Record 10
Below is Si2Os2O5 after structural relaxation, with properties calculated at the PBE level.

Geometry as POSCAR:
```
Si2Os2O5
1.0
6.567 0.000 0.000
0.000 3.912 0.000
0.000 0.000 3.912
O Os Si
5 2 2
direct
0.245 0.500 0.000
0.755 0.500 0.000
0.245 0.000 0.500
0.500 0.500 0.500
0.755 0.000 0.500
0.816 0.500 0.500
0.184 0.500 0.500
0.000 0.000 0.000
0.500 0.000 0.000
```


Record 11
Below is Si2Os2O5 after structural relaxation, with properties calculated at the PBE level.

Geometry as POSCAR:
```
Si2Os2O5
1.0
8.238 0.000 0.000
0.000 3.327 0.000
0.000 0.000 3.327
O Si Os
5 2 2
direct
0.847 0.000 0.500
0.153 0.500 0.000
0.847 0.500 0.000
0.500 0.500 0.500
0.153 0.000 0.500
0.725 0.500 0.500
0.275 0.500 0.500
0.000 0.000 0.000
0.500 0.000 0.000
```


Record 12
Below is Sm3OsO7 after structural relaxation, with properties calculated at the PBE level.

Geometry as POSCAR:
```
Sm3OsO7
1.0
0.309 2.262 -6.101
-4.060 -3.256 -3.918
-5.420 4.902 1.543
O Sm Os
14 6 2
direct
0.816 0.438 0.541
0.184 0.562 0.041
0.438 0.816 0.041
0.438 0.816 0.459
0.184 0.562 0.459
0.562 0.184 0.959
0.157 0.106 0.750
0.562 0.184 0.541
0.589 0.411 0.250
0.106 0.157 0.250
0.411 0.589 0.750
0.843 0.894 0.250
0.894 0.843 0.750
0.816 0.438 0.959
0.526 0.921 0.750
0.000 0.000 0.000
0.921 0.526 0.250
0.474 0.079 0.250
0.000 0.000 0.500
0.079 0.474 0.750
0.500 0.500 0.000
0.500 0.500 0.500
```


Record 13
Below is Sm2Os2O5 after structural relaxation, with properties calculated at the PBE level.

Geometry as POSCAR:
```
Sm2Os2O5
1.0
6.999 0.000 0.000
0.000 3.957 0.000
0.000 0.000 3.957
Sm O Os
2 5 2
direct
0.500 0.000 0.000
0.000 0.000 0.000
0.500 0.500 0.500
0.762 0.500 0.000
0.238 0.000 0.500
0.762 0.000 0.500
0.238 0.500 0.000
0.811 0.500 0.500
0.189 0.500 0.500
```


Record 14
Below is Sm2Os2O5 after structural relaxation, with properties calculated at the PBE level.

Geometry as POSCAR:
```
Sm2Os2O5
1.0
-2.412 -9.285 -0.558
3.428 -0.911 0.349
-0.390 -0.111 3.541
Os O Sm
2 5 2
direct
0.000 0.000 0.000
0.500 0.000 0.000
0.880 0.000 0.500
0.120 0.000 0.500
0.120 0.500 0.000
0.500 0.500 0.500
0.880 0.500 0.000
0.735 0.500 0.500
0.265 0.500 0.500
```


Record 15
Below is Sm5Os2O12 after structural relaxation, with properties calculated at the PBE level.

Geometry as POSCAR:
```
Sm5Os2O12
1.0
-2.427 3.765 5.358
1.129 -0.408 6.880
5.866 3.950 -2.877
Sm O Os
5 12 2
direct
0.688 0.688 0.831
0.312 0.312 0.169
0.303 0.303 0.644
0.000 0.000 0.500
0.697 0.697 0.356
0.913 0.413 0.082
0.098 0.595 0.425
0.000 0.000 0.799
0.499 0.499 0.831
0.000 0.000 0.201
0.902 0.405 0.575
0.587 0.087 0.918
0.595 0.098 0.425
0.501 0.501 0.169
0.405 0.902 0.575
0.087 0.587 0.918
0.413 0.913 0.082
0.782 0.218 0.000
0.218 0.782 0.000
```


Record 16
Below is Sn2Os2O7 after structural relaxation, with properties calculated at the PBE level.

Geometry as POSCAR:
```
Sn2Os2O7
1.0
5.460 0.898 -4.682
1.052 1.080 7.090
-2.396 -6.737 1.191
O Os Sn
14 4 4
direct
0.503 0.830 0.861
0.585 0.910 0.440
0.503 0.142 0.173
0.402 0.490 0.412
0.469 0.410 0.825
0.969 0.330 0.827
0.021 0.341 0.455
0.021 0.065 0.180
0.969 0.642 0.139
0.886 0.565 0.545
0.469 0.144 0.560
0.078 0.990 0.588
0.886 0.841 0.820
0.585 0.644 0.175
0.238 0.240 0.498
0.741 0.740 0.502
0.742 0.242 0.500
0.742 0.742 0.000
0.291 0.753 0.037
0.229 0.229 0.000
0.229 0.729 0.500
0.716 0.253 0.963
```


Record 17
Below is Sn2OsO4 after structural relaxation, with properties calculated at the PBE level.

Geometry as POSCAR:
```
Sn2OsO4
1.0
4.804 -4.804 0.000
-4.804 0.000 -4.804
4.804 4.804 0.000
O Sn Os
8 4 2
direct
0.637 0.274 0.363
0.113 0.226 0.887
0.113 0.774 0.887
0.637 0.726 0.363
0.637 0.274 0.910
0.113 0.226 0.340
0.660 0.774 0.887
0.090 0.726 0.363
0.375 0.250 0.625
0.375 0.750 0.625
0.875 0.250 0.625
0.375 0.750 0.125
0.750 0.500 0.250
0.000 0.000 0.000
```


Record 18
Below is SnOsO3 after structural relaxation, with properties calculated at the PBE level.

Geometry as POSCAR:
```
SnOsO3
1.0
5.490 0.000 0.000
0.000 11.241 0.000
0.000 0.000 8.062
O Os Sn
24 8 8
direct
0.726 0.835 0.500
0.018 0.268 0.782
0.802 0.419 0.000
0.482 0.768 0.218
0.500 0.500 0.262
0.000 0.000 0.262
0.226 0.665 0.500
0.274 0.165 0.500
0.000 0.500 0.687
0.518 0.232 0.218
0.018 0.268 0.218
0.500 0.000 0.313
0.302 0.081 0.000
0.500 0.000 0.687
0.500 0.500 0.738
0.982 0.732 0.218
0.698 0.919 0.000
0.518 0.232 0.782
0.482 0.768 0.782
0.198 0.581 0.000
0.000 0.500 0.313
0.000 0.000 0.738
0.982 0.732 0.782
0.774 0.335 0.500
0.736 0.379 0.249
0.236 0.121 0.249
0.236 0.121 0.751
0.764 0.879 0.751
0.264 0.621 0.249
0.736 0.379 0.751
0.264 0.621 0.751
0.764 0.879 0.249
0.311 0.869 0.500
0.295 0.869 0.000
0.705 0.131 0.000
0.795 0.631 0.000
0.689 0.131 0.500
0.189 0.369 0.500
0.811 0.631 0.500
0.205 0.369 0.000
```


| no. | calculated total energy (eV/atom) |
| --- | --- |
| 1 | -5.96 |
| 2 | -8.01 |
| 3 | -8.04 |
| 4 | -8.14 |
| 5 | -7.55 |
| 6 | -5.53 |
| 7 | -7.01 |
| 8 | -6.38 |
| 9 | -6.74 |
| 10 | -6.65 |
| 11 | -6.84 |
| 12 | -8.15 |
| 13 | -7.97 |
| 14 | -7.54 |
| 15 | -8.19 |
| 16 | -6.99 |
| 17 | -6.23 |
| 18 | -6.83 |